DFT (PBE) results for crystalline YTiSCl2 at its relaxed geometry.

```
YTiSCl2
1.0
4.714 0.000 0.000
0.000 4.714 0.000
0.000 0.000 4.888
Y Ti Cl S
1 1 2 1
Cartesian
2.357 2.357 2.444
0.000 0.000 0.000
2.357 0.000 0.000
0.000 2.357 0.000
0.000 0.000 2.444
```

Fermi-level density of states ... 5.35 states/eV/cell
Space-group type ... P4/mmm
Formation energy from raw total energies ... -0.996 eV per atom
Energy above the lowest structure with this stoichiometry ... 0.000 eV per atom
Uncorrected energy ... -5.43 eV per atom